No. 1
# SrYMn2Pb meta-GGA SCAN single point on PBEsol structure
data_SrYMn2Pb
_chemical_formula_sum 'Sr1 Y1 Mn2 Pb1'
_cell_length_a 5.127
_cell_length_b 5.127
_cell_length_c 5.916
_cell_angle_alpha 90.00
_cell_angle_beta 90.00
_cell_angle_gamma 90.00
_symmetry_space_group_name_H-M 'P 1'
_symmetry_Int_Tables_number 1
loop_
_symmetry_equiv_pos_as_xyz
'x,y,z'
loop_
_atom_site_label
_atom_site_fract_x
_atom_site_fract_y
_atom_site_fract_z
Pb1 0.000 0.000 0.000
Y1 0.500 0.500 0.500
Mn1 0.000 0.500 0.000
Mn2 0.500 0.000 0.000
Sr1 0.000 0.000 0.500
# spin magnetization	7.804	μB per formula unit
# E	-31.943	eV/atom
# energy of formation from the pure elements	0.54	eV per atom
# SG	P4/mmm, No. 123


No. 2
# Ta3MnPb meta-GGA SCAN single point on PBEsol structure
data_Ta3MnPb
_chemical_formula_sum 'Ta3 Mn1 Pb1'
_cell_length_a 4.599
_cell_length_b 4.599
_cell_length_c 4.599
_cell_angle_alpha 90.00
_cell_angle_beta 90.00
_cell_angle_gamma 90.00
_symmetry_space_group_name_H-M 'P 1'
_symmetry_Int_Tables_number 1
loop_
_symmetry_equiv_pos_as_xyz
'x,y,z'
loop_
_atom_site_label
_atom_site_fract_x
_atom_site_fract_y
_atom_site_fract_z
Pb1 0.500 0.500 0.500
Mn1 0.000 0.000 0.000
Ta1 0.000 0.500 0.000
Ta2 0.000 0.000 0.500
Ta3 0.500 0.000 0.000
# spin magnetization	0.000	μB per formula unit
# E	-58.047	eV/atom
# energy of formation from the pure elements	0.71	eV per atom
# SG	Pm-3m, No. 221